Record 1
! Cu2Ni5P3, optimized geometry, DFT PBE; values from VASP
! calculated volume = 11.9 Å³ per atom
! raw total energy = -5.61 eV/atom
! D(E_F) = 9.00 states/eV/cell
&SYSTEM
  ibrav = 0, nat = 20, ntyp = 3
/
ATOMIC_SPECIES
Cu 63.55 Cu.upf
Ni 58.69 Ni.upf
P 30.97 P.upf
ATOMIC_POSITIONS crystal
Cu 0.1101 0.6709 0.9291
Cu 0.3291 0.8899 0.5709
Cu 0.6709 0.1101 0.4291
Cu 0.8899 0.3291 0.0709
Ni 0.0201 0.9799 0.7500
Ni 0.1704 0.5380 0.3868
Ni 0.2476 0.3317 0.9262
Ni 0.3317 0.2476 0.4262
Ni 0.4620 0.8296 0.1132
Ni 0.5380 0.1704 0.8868
Ni 0.6683 0.7524 0.5738
Ni 0.7524 0.6683 0.0738
Ni 0.8296 0.4620 0.6132
Ni 0.9799 0.0201 0.2500
P 0.0214 0.2675 0.5655
P 0.2675 0.0214 0.0655
P 0.4627 0.5373 0.2500
P 0.5373 0.4627 0.7500
P 0.7325 0.9786 0.9345
P 0.9786 0.7325 0.4345
CELL_PARAMETERS angstrom
4.3660 -5.6135 0.0000
4.3660 5.6135 0.0000
-0.4197 0.0000 4.8640



Record 2
! NbIn2HPd, optimized geometry, DFT PBE; values from VASP
! calculated volume = 17.3 Å³ per atom
! raw total energy = -4.77 eV/atom
! D(E_F) = 3.40 states/eV/cell
&SYSTEM
  ibrav = 0, nat = 5, ntyp = 4
/
ATOMIC_SPECIES
Nb 92.91 Nb.upf
In 114.82 In.upf
H 1.01 H.upf
Pd 106.42 Pd.upf
ATOMIC_POSITIONS crystal
Nb 0.0000 0.0000 0.0000
In 0.0000 0.5000 0.5000
In 0.5000 0.0000 0.5000
H 0.5000 0.5000 0.5000
Pd 0.5000 0.5000 0.0000
CELL_PARAMETERS angstrom
5.0441 0.0000 0.0000
0.0000 5.0441 0.0000
0.0000 0.0000 3.3934



Record 3
! NpUSe2N, optimized geometry, DFT PBE; values from VASP
! calculated volume = 24.2 Å³ per atom
! D(E_F) = 21.86 states/eV/cell
! raw formation energy = -0.81 eV/atom
&SYSTEM
  ibrav = 0, nat = 10, ntyp = 4
/
ATOMIC_SPECIES
Np 237.00 Np.upf
U 238.03 U.upf
Se 78.96 Se.upf
N 14.01 N.upf
ATOMIC_POSITIONS crystal
Np 0.2500 0.2500 0.2446
Np 0.7500 0.7500 0.7554
U 0.2500 0.2500 0.4267
U 0.7500 0.7500 0.5733
Se 0.2500 0.2500 0.0872
Se 0.2500 0.2500 0.6896
Se 0.7500 0.7500 0.3104
Se 0.7500 0.7500 0.9128
N 0.2500 0.7500 0.5000
N 0.7500 0.2500 0.5000
CELL_PARAMETERS angstrom
3.9149 0.0000 0.0000
0.0000 3.9149 0.0000
0.0000 0.0000 15.7993